# 1
VASP calculation (GGA-PBE) on crystalline Pm3NdRu at its relaxed geometry.

Unit cell a=6.403 b=6.577 c=7.801 alpha=90.00 beta=90.00 gamma=90.00
Sites, in units of the cell vectors:
Nd  0.431  0.333  0.701
Nd  0.931  0.020  0.201
Pm  0.421  0.335  0.201
Pm  0.426  0.854  0.451
Pm  0.926  0.499  0.451
Ru  0.675  0.676  0.201
Pm  0.926  0.499  0.951
Ru  0.175  0.677  0.701
Pm  0.426  0.854  0.951
Pm  0.921  0.018  0.701

The value obtained for the volume is 328.49 Å³ per cell. The value obtained for the energy of formation is -76 meV per atom. As for the space group: Pmn2_1, No. 31. For the relative energy among the computed polymorphs, the calculation gives 0.080 eV/atom. For the density of states at the Fermi level, the calculation gives 6.24 states/eV/f.u. The size of the total moment is 0.0 μB per formula unit.


# 2
VASP calculation (GGA-PBE) on crystalline Pm2NdRu at its relaxed geometry.

Unit cell a=3.515 b=3.515 c=9.327 alpha=90.00 beta=90.00 gamma=90.00
Sites, in units of the cell vectors:
Nd  0.500  0.500  0.500
Pm  0.000  0.000  0.181
Pm  0.000  0.000  0.819
Ru  0.500  0.500  0.000

The value obtained for the volume is 115.23 Å³ per cell. The value obtained for the energy of formation is -90 meV per atom. As for the space group: P4/mmm, No. 123. For the relative energy among the computed polymorphs, the calculation gives 0.119 eV/atom. For the density of states at the Fermi level, the calculation gives 3.79 states/eV/f.u. The size of the total moment is 0.0 μB per formula unit.


# 3
VASP calculation (GGA-PBE) on crystalline Pm3Nd4Ru4 at its relaxed geometry.

Unit cell a=3.642 b=9.091 c=9.733 alpha=117.84 beta=100.78 gamma=90.00
Sites, in units of the cell vectors:
Ru  0.262  0.762  0.524
Pm  0.000  0.500  0.000
Nd  0.335  0.526  0.671
Ru  0.738  0.238  0.476
Ru  0.500  0.769  0.000
Pm  0.905  0.905  0.810
Nd  0.665  0.474  0.329
Pm  0.095  0.095  0.190
Ru  0.500  0.231  0.000
Nd  0.335  0.145  0.671
Nd  0.665  0.855  0.329

The value obtained for the volume is 278.52 Å³ per cell. The value obtained for the energy of formation is -119 meV per atom. As for the space group: Immm, No. 71. For the density of states at the Fermi level, the calculation gives 6.86 states/eV/f.u. The size of the total moment is 0.0 μB per formula unit.


# 4
VASP calculation (GGA-PBE) on crystalline PmNdSnRu at its relaxed geometry.

Unit cell a=5.225 b=5.225 c=5.225 alpha=60.00 beta=60.00 gamma=60.00
Sites, in units of the cell vectors:
Nd  0.500  0.500  0.500
Pm  0.000  0.000  0.000
Sn  0.250  0.250  0.250
Ru  0.750  0.750  0.750

The value obtained for the volume is 100.88 Å³ per cell. The value obtained for the energy of formation is -293 meV per atom. As for the space group: F-43m, No. 216. For the density of states at the Fermi level, the calculation gives 2.54 states/eV/f.u. The size of the total moment is 0.0 μB per formula unit.


# 5
VASP calculation (GGA-PBE) on crystalline PmNdTlRu at its relaxed geometry.

Unit cell a=3.463 b=3.463 c=8.682 alpha=90.00 beta=90.00 gamma=90.00
Sites, in units of the cell vectors:
Nd  0.500  0.500  0.772
Pm  0.500  0.500  0.370
Ru  0.000  0.000  0.569
Tl  0.000  0.000  0.073

The value obtained for the volume is 104.12 Å³ per cell. The value obtained for the energy of formation is -285 meV per atom. As for the space group: P4mm, No. 99. For the relative energy among the computed polymorphs, the calculation gives 0.000 eV/atom. For the density of states at the Fermi level, the calculation gives 3.64 states/eV/f.u. The size of the total moment is 0.0 μB per formula unit.


# 6
VASP calculation (GGA-PBE) on crystalline Pm3Nd3Tl2Ru at its relaxed geometry.

Unit cell a=3.937 b=8.889 c=8.889 alpha=120.00 beta=90.00 gamma=90.00
Sites, in units of the cell vectors:
Pm  0.500  0.238  0.238
Nd  0.000  0.000  0.395
Nd  0.000  0.605  0.605
Pm  0.500  0.762  0.000
Tl  0.500  0.333  0.667
Nd  0.000  0.395  0.000
Tl  0.500  0.667  0.333
Pm  0.500  0.000  0.762
Ru  0.000  0.000  0.000

The value obtained for the volume is 269.34 Å³ per cell. The value obtained for the energy of formation is -276 meV per atom. As for the space group: P-62m, No. 189. For the density of states at the Fermi level, the calculation gives 10.69 states/eV/f.u. The size of the total moment is 0.0 μB per formula unit.


# 7
VASP calculation (GGA-PBE) on crystalline PmNdTlRu at its relaxed geometry.

Unit cell a=5.234 b=5.234 c=5.234 alpha=60.00 beta=60.00 gamma=60.00
Sites, in units of the cell vectors:
Tl  0.250  0.250  0.250
Pm  0.000  0.000  0.000
Ru  0.750  0.750  0.750
Nd  0.500  0.500  0.500

The value obtained for the volume is 101.39 Å³ per cell. The value obtained for the energy of formation is -155 meV per atom. As for the space group: F-43m, No. 216. For the relative energy among the computed polymorphs, the calculation gives 0.129 eV/atom. For the density of states at the Fermi level, the calculation gives 2.69 states/eV/f.u. The size of the total moment is 0.0 μB per formula unit.


# 8
VASP calculation (GGA-PBE) on crystalline PmNd2U2Ru5 at its relaxed geometry.

Unit cell a=3.594 b=10.890 c=10.890 alpha=90.00 beta=90.00 gamma=90.00
Sites, in units of the cell vectors:
Ru  0.500  0.780  0.950
Ru  0.500  0.050  0.780
Nd  0.000  0.324  0.824
U  0.000  0.133  0.633
Nd  0.000  0.176  0.324
Ru  0.500  0.500  0.000
Ru  0.500  0.220  0.050
Ru  0.500  0.280  0.550
Nd  0.000  0.676  0.176
Nd  0.000  0.824  0.676
Ru  0.500  0.000  0.500
U  0.000  0.367  0.133
Pm  0.000  0.500  0.500
Ru  0.500  0.720  0.450
Pm  0.000  0.000  0.000
Ru  0.500  0.950  0.220
U  0.000  0.633  0.867
Ru  0.500  0.550  0.720
U  0.000  0.867  0.367
Ru  0.500  0.450  0.280

The value obtained for the volume is 426.24 Å³ per cell. The value obtained for the energy of formation is -201 meV per atom. As for the space group: P4/mbm, No. 127. For the density of states at the Fermi level, the calculation gives 7.83 states/eV/f.u. The size of the total moment is 0.0 μB per formula unit.


# 9
VASP calculation (GGA-PBE) on crystalline Pm2NdS3 at its relaxed geometry.

Unit cell a=4.053 b=5.717 c=7.001 alpha=114.10 beta=106.83 gamma=90.00
Sites, in units of the cell vectors:
S  0.500  0.000  0.500
Nd  0.500  0.500  0.500
S  0.832  0.332  0.163
Pm  0.834  0.834  0.168
S  0.168  0.668  0.837
Pm  0.166  0.166  0.832

The value obtained for the volume is 140.42 Å³ per cell. As for the space group: Immm, No. 71. For the density of states at the Fermi level, the calculation gives 2.44 states/eV/f.u. As for the formation energy from raw total energies: -2.030 eV per atom. The size of the total moment is 0.0 μB per formula unit.


# 10
VASP calculation (GGA-PBE) on crystalline PmNd2S4 at its relaxed geometry.

Unit cell a=3.935 b=7.025 c=13.488 alpha=90.00 beta=90.00 gamma=106.26
Sites, in units of the cell vectors:
Nd  0.129  0.259  0.071
S  0.777  0.554  0.124
S  0.976  0.952  0.750
Nd  0.129  0.259  0.429
S  0.500  0.000  0.000
S  0.223  0.446  0.876
Nd  0.871  0.741  0.929
Nd  0.871  0.741  0.571
S  0.777  0.554  0.376
S  0.024  0.048  0.250
S  0.223  0.446  0.624
S  0.500  0.000  0.500
Pm  0.626  0.253  0.750
Pm  0.374  0.747  0.250

The value obtained for the volume is 357.92 Å³ per cell. As for the space group: Cmcm, No. 63. For the relative energy among the computed polymorphs, the calculation gives 0.000 eV/atom. For the density of states at the Fermi level, the calculation gives 1.87 states/eV/f.u. As for the formation energy from raw total energies: -2.028 eV per atom. The size of the total moment is 0.0 μB per formula unit.


# 11
VASP calculation (GGA-PBE) on crystalline PmNd3S4 at its relaxed geometry.

Unit cell a=5.744 b=5.744 c=5.744 alpha=90.00 beta=90.00 gamma=90.00
Sites, in units of the cell vectors:
Pm  0.000  0.000  0.000
S  0.000  0.000  0.500
Nd  0.500  0.000  0.500
Nd  0.000  0.500  0.500
Nd  0.500  0.500  0.000
S  0.000  0.500  0.000
S  0.500  0.000  0.000
S  0.500  0.500  0.500

The value obtained for the volume is 189.48 Å³ per cell. As for the space group: Pm-3m, No. 221. For the relative energy among the computed polymorphs, the calculation gives 0.013 eV/atom. For the density of states at the Fermi level, the calculation gives 4.31 states/eV/f.u. As for the formation energy from raw total energies: -2.018 eV per atom. The size of the total moment is 0.0 μB per formula unit.


# 12
VASP calculation (GGA-PBE) on crystalline PmNd2S4 at its relaxed geometry.

Unit cell a=8.129 b=8.092 c=8.092 alpha=60.79 beta=59.85 gamma=59.85
Sites, in units of the cell vectors:
S  0.749  0.750  0.753
S  0.759  0.251  0.751
Pm  0.500  0.500  0.000
S  0.761  0.749  0.249
Nd  0.000  0.500  0.500
S  0.251  0.747  0.750
S  0.241  0.749  0.249
S  0.251  0.250  0.247
S  0.239  0.251  0.751
S  0.749  0.253  0.250
Nd  0.500  0.000  0.500
Nd  0.000  0.000  0.500
Pm  0.000  0.500  0.000
Nd  0.000  0.000  0.000

The value obtained for the volume is 377.72 Å³ per cell. As for the space group: Imma, No. 74. For the relative energy among the computed polymorphs, the calculation gives 0.006 eV/atom. For the density of states at the Fermi level, the calculation gives 1.84 states/eV/f.u. As for the formation energy from raw total energies: -2.022 eV per atom. The size of the total moment is 0.0 μB per formula unit.